No. 1
The following is a PBE calculation of a relaxed structure of Nd4ZnCoBr2, from Alexandria.

**DFT total energy**: -36.3 eV/cell
**DOS at the Fermi energy**: 7.0 states/eV per cell
**Formation energy without anion corrections**: -0.688 eV per atom

a b c (Å): 7.378 4.028 8.112
angles (deg): 90.00 107.16 90.00
Space group P2/m (No. 10)
Unique sites:
1 Nd 0.223 0.000 0.294 x2
2 Nd 0.227 0.500 0.698 x2
3 Zn 0.500 0.500 0.500 x1
4 Co 0.000 0.000 0.500 x1
5 Br 0.000 0.500 0.000 x1
6 Br 0.500 0.000 0.000 x1

No. 2
The following is a PBE calculation of a relaxed structure of CoNiBr, from Alexandria.

**DFT total energy**: -25.3 eV/cell
**DOS at the Fermi energy**: 7.6 states/eV per cell
**Formation energy without anion corrections**: 0.645 eV per atom

a b c (Å): 3.041 3.041 9.829
angles (deg): 90.00 90.00 90.00
Space group I4mm (No. 107)
Unique sites:
1 Co 0.000 0.000 0.000 x2
2 Ni 0.000 0.000 0.367 x2
3 Br 0.000 0.000 0.676 x2

No. 3
The following is a PBE calculation of a relaxed structure of CoNiBr, from Alexandria.

**DFT total energy**: -50.4 eV/cell
**DOS at the Fermi energy**: 7.4 states/eV per cell
**Formation energy without anion corrections**: 0.650 eV per atom

a b c (Å): 5.752 5.752 5.752
angles (deg): 90.00 90.00 90.00
Space group F-43m (No. 216)
Unique sites:
1 Co 0.000 0.000 0.000 x4
2 Ni 0.250 0.250 0.250 x4
3 Br 0.250 0.250 0.750 x4

No. 4
The following is a PBE calculation of a relaxed structure of Co4NiBr, from Alexandria.

**DFT total energy**: -127.3 eV/cell
**DOS at the Fermi energy**: 37.4 states/eV per cell
**Formation energy without anion corrections**: 0.674 eV per atom

a b c (Å): 6.812 6.812 6.812
angles (deg): 90.00 90.00 90.00
Space group F-43m (No. 216)
Unique sites:
1 Co 0.124 0.124 0.124 x16
2 Ni 0.250 0.250 0.750 x4
3 Br 0.000 0.000 0.500 x4

No. 5
The following is a PBE calculation of a relaxed structure of CoNiBr3, from Alexandria.

**DFT total energy**: -15.6 eV/cell
**DOS at the Fermi energy**: 8.7 states/eV per cell
**Formation energy without anion corrections**: 0.462 eV per atom

a b c (Å): 4.920 4.920 4.920
angles (deg): 90.00 90.00 90.00
Space group Pm-3m (No. 221)
Unique sites:
1 Co 0.000 0.000 0.000 x1
2 Ni 0.500 0.500 0.500 x1
3 Br 0.000 0.500 0.500 x3

No. 6
The following is a PBE calculation of a relaxed structure of CoNiBr, from Alexandria.

**DFT total energy**: -12.9 eV/cell
**DOS at the Fermi energy**: 6.5 states/eV per cell
**Formation energy without anion corrections**: 0.557 eV per atom

a b c (Å): 3.3283 3.3283 5.1493
angles (deg): 90.00 90.00 120.00
Space group P3m1 (No. 156)
Unique sites:
1 Co 0.0000 0.0000 0.0000 x1
2 Ni 0.6667 0.3333 0.2552 x1
3 Br 0.3333 0.6667 0.6484 x1